Run A
An optimized crystal structure of Na5B8C2. Source: Alexandria, functional PBE.

Unit cell a=7.727 b=7.731 c=9.130 alpha=107.50 beta=107.52 gamma=38.73
Element x y z (fractional)
Na (0.801, 0.799, 0.000)
Na (0.901, 0.899, 0.500)
Na (0.602, 0.599, 0.001)
Na (0.702, 0.699, 0.501)
Na (0.403, 0.397, 0.999)
Na (0.501, 0.498, 0.499)
Na (0.201, 0.200, 0.002)
Na (0.302, 0.298, 0.500)
Na (0.999, 0.999, 0.997)
Na (0.099, 0.101, 0.502)
B (0.589, 0.907, 0.249)
B (0.619, 0.284, 0.751)
B (0.680, 0.020, 0.751)
B (0.530, 0.181, 0.250)
B (0.396, 0.704, 0.250)
B (0.417, 0.081, 0.750)
B (0.486, 0.802, 0.750)
B (0.284, 0.009, 0.249)
B (0.193, 0.511, 0.250)
B (0.279, 0.638, 0.750)
B (0.091, 0.816, 0.251)
B (0.028, 0.671, 0.750)
B (0.062, 0.421, 0.750)
B (0.919, 0.570, 0.249)
B (0.897, 0.215, 0.750)
B (0.728, 0.372, 0.250)
C (0.213, 0.891, 0.750)
C (0.982, 0.313, 0.249)
C (0.787, 0.119, 0.252)
C (0.809, 0.487, 0.749)

Symmetry ... P1 (1)
V ... 10.78 A^3/atom
Spin magnetization ... 0.00 Bohr magnetons per cell
Crystal system ... triclinic


Run B
An optimized crystal structure of Na5B8C2. Source: Alexandria, functional PBE.

Unit cell a=11.800 b=11.800 c=10.145 alpha=105.97 beta=105.97 gamma=13.74
Element x y z (fractional)
Na (0.399, 0.399, 0.800)
Na (0.501, 0.501, 0.501)
Na (0.201, 0.201, 0.398)
Na (0.299, 0.299, 0.099)
Na (0.000, 0.000, 0.000)
Na (0.101, 0.101, 0.704)
Na (0.799, 0.799, 0.600)
Na (0.899, 0.899, 0.296)
Na (0.601, 0.601, 0.201)
Na (0.700, 0.700, 0.901)
B (0.917, 0.917, 0.586)
B (0.086, 0.086, 0.421)
B (0.023, 0.023, 0.295)
B (0.980, 0.980, 0.711)
B (0.719, 0.719, 0.187)
B (0.875, 0.875, 0.002)
B (0.809, 0.809, 0.868)
B (0.785, 0.785, 0.320)
B (0.523, 0.523, 0.795)
B (0.628, 0.628, 0.504)
B (0.589, 0.589, 0.925)
B (0.480, 0.480, 0.209)
B (0.416, 0.416, 0.083)
B (0.374, 0.374, 0.500)
B (0.217, 0.217, 0.685)
B (0.180, 0.180, 0.107)
C (0.686, 0.686, 0.623)
C (0.316, 0.316, 0.384)
C (0.120, 0.120, 0.987)
C (0.278, 0.278, 0.807)

Symmetry ... Cm (8)
V ... 10.74 A^3/atom
Spin magnetization ... 0.00 Bohr magnetons per cell
Crystal system ... monoclinic


Run C
An optimized crystal structure of Na5B8C2. Source: Alexandria, functional PBE.

Unit cell a=7.521 b=7.522 c=8.672 alpha=90.00 beta=90.00 gamma=138.87
Element x y z (fractional)
Na (0.197, 0.798, 0.996)
Na (0.197, 0.798, 0.504)
Na (0.400, 0.600, 0.000)
Na (0.400, 0.600, 0.500)
Na (0.998, 0.999, 0.007)
Na (0.998, 0.999, 0.493)
Na (0.603, 0.402, 0.004)
Na (0.603, 0.402, 0.496)
Na (0.802, 0.201, 0.993)
Na (0.802, 0.201, 0.507)
B (0.150, 0.539, 0.750)
B (0.448, 0.849, 0.250)
B (0.120, 0.520, 0.250)
B (0.475, 0.867, 0.750)
B (0.352, 0.351, 0.750)
B (0.650, 0.661, 0.250)
B (0.325, 0.333, 0.250)
B (0.680, 0.680, 0.750)
B (0.261, 0.048, 0.250)
B (0.933, 0.724, 0.250)
B (0.225, 0.036, 0.750)
B (0.539, 0.152, 0.750)
B (0.575, 0.164, 0.250)
B (0.867, 0.476, 0.750)
B (0.762, 0.974, 0.250)
B (0.038, 0.226, 0.750)
C (0.934, 0.739, 0.750)
C (0.866, 0.461, 0.250)
C (0.739, 0.934, 0.750)
C (0.061, 0.266, 0.250)

Symmetry ... P2_1/m (11)
V ... 10.76 A^3/atom
Spin magnetization ... 0.00 Bohr magnetons per cell
Crystal system ... monoclinic


Run D
An optimized crystal structure of Na5B8C2. Source: Alexandria, functional PBE.

Unit cell a=2.936 b=2.936 c=43.016 alpha=90.00 beta=90.00 gamma=120.00
Element x y z (fractional)
Na (0.000, 0.000, 0.999)
Na (0.000, 0.000, 0.100)
Na (0.000, 0.000, 0.201)
Na (0.000, 0.000, 0.300)
Na (0.000, 0.000, 0.400)
Na (0.000, 0.000, 0.499)
Na (0.000, 0.000, 0.600)
Na (0.000, 0.000, 0.701)
Na (0.000, 0.000, 0.800)
Na (0.000, 0.000, 0.900)
B (0.333, 0.667, 0.049)
B (0.667, 0.333, 0.151)
B (0.333, 0.667, 0.151)
B (0.667, 0.333, 0.049)
B (0.667, 0.333, 0.350)
B (0.333, 0.667, 0.350)
B (0.667, 0.333, 0.250)
B (0.667, 0.333, 0.549)
B (0.333, 0.667, 0.549)
B (0.667, 0.333, 0.450)
B (0.333, 0.667, 0.651)
B (0.333, 0.667, 0.750)
B (0.667, 0.333, 0.651)
B (0.333, 0.667, 0.850)
B (0.333, 0.667, 0.950)
B (0.667, 0.333, 0.850)
C (0.333, 0.667, 0.250)
C (0.333, 0.667, 0.450)
C (0.667, 0.333, 0.750)
C (0.667, 0.333, 0.950)

Symmetry ... P6_3/mmc (194)
V ... 10.71 A^3/atom
Spin magnetization ... 0.00 Bohr magnetons per cell
Crystal system ... hexagonal


Which structure loses on stability? run D does.


Run A
An optimized crystal structure of Na8B15C. Source: Alexandria, functional PBE.

Unit cell a=9.165 b=9.165 c=5.174 alpha=90.00 beta=90.00 gamma=141.54
Element x y z (fractional)
Na (0.251, 0.250, 0.500)
Na (0.499, 0.000, 0.500)
Na (0.000, 0.000, 0.999)
Na (0.250, 0.750, 0.001)
Na (0.750, 0.749, 0.500)
Na (0.000, 0.501, 0.500)
Na (0.500, 0.500, 0.001)
Na (0.750, 0.250, 0.999)
C (0.875, 0.125, 0.671)
B (0.625, 0.375, 0.333)
B (0.627, 0.877, 0.171)
B (0.875, 0.125, 0.351)
B (0.375, 0.125, 0.167)
B (0.375, 0.125, 0.833)
B (0.375, 0.625, 0.680)
B (0.638, 0.888, 0.816)
B (0.125, 0.875, 0.667)
B (0.125, 0.875, 0.333)
B (0.123, 0.373, 0.171)
B (0.375, 0.625, 0.325)
B (0.875, 0.625, 0.167)
B (0.875, 0.625, 0.833)
B (0.112, 0.362, 0.816)
B (0.625, 0.375, 0.667)

Symmetry ... Cmm2 (35)
V ... 11.26 A^3/atom
Spin magnetization ... 0.00 Bohr magnetons per cell
Crystal system ... orthorhombic


Run B
An optimized crystal structure of Na8B15C. Source: Alexandria, functional PBE.

Unit cell a=3.005 b=3.005 c=34.511 alpha=90.00 beta=90.00 gamma=120.00
Element x y z (fractional)
Na (0.000, 0.000, 0.999)
Na (0.000, 0.000, 0.124)
Na (0.000, 0.000, 0.249)
Na (0.000, 0.000, 0.375)
Na (0.000, 0.000, 0.500)
Na (0.000, 0.000, 0.626)
Na (0.000, 0.000, 0.751)
Na (0.000, 0.000, 0.876)
C (0.667, 0.333, 0.938)
B (0.333, 0.667, 0.061)
B (0.667, 0.333, 0.187)
B (0.333, 0.667, 0.187)
B (0.667, 0.333, 0.061)
B (0.333, 0.667, 0.312)
B (0.667, 0.333, 0.438)
B (0.333, 0.667, 0.438)
B (0.667, 0.333, 0.312)
B (0.333, 0.667, 0.563)
B (0.667, 0.333, 0.688)
B (0.333, 0.667, 0.688)
B (0.667, 0.333, 0.563)
B (0.333, 0.667, 0.814)
B (0.333, 0.667, 0.938)
B (0.667, 0.333, 0.814)

Symmetry ... P-6m2 (187)
V ... 11.24 A^3/atom
Spin magnetization ... 0.00 Bohr magnetons per cell
Crystal system ... hexagonal


Which structure loses on stability? run B does.


Run A
An optimized crystal structure of Na8B15C. Source: Alexandria, functional PBE.

Unit cell a=10.058 b=9.096 c=6.039 alpha=80.56 beta=63.13 gamma=36.32
Element x y z (fractional)
Na (0.499, 0.500, 0.000)
Na (0.250, 0.250, 0.250)
Na (0.499, 0.500, 0.501)
Na (0.251, 0.250, 0.749)
Na (0.000, 0.999, 0.000)
Na (0.750, 0.751, 0.250)
Na (0.000, 0.000, 0.500)
Na (0.750, 0.751, 0.749)
C (0.792, 0.458, 0.042)
B (0.207, 0.543, 0.457)
B (0.289, 0.961, 0.539)
B (0.948, 0.302, 0.730)
B (0.543, 0.207, 0.293)
B (0.206, 0.542, 0.958)
B (0.289, 0.961, 0.048)
B (0.947, 0.303, 0.197)
B (0.543, 0.207, 0.793)
B (0.708, 0.044, 0.456)
B (0.798, 0.452, 0.539)
B (0.458, 0.792, 0.708)
B (0.043, 0.707, 0.293)
B (0.707, 0.043, 0.957)
B (0.480, 0.770, 0.198)
B (0.043, 0.707, 0.793)

Symmetry ... Fmm2 (42)
V ... 11.25 A^3/atom
Spin magnetization ... 0.00 Bohr magnetons per cell
Crystal system ... orthorhombic


Run B
An optimized crystal structure of Na8B15C. Source: Alexandria, functional PBE.

Unit cell a=10.309 b=10.309 c=2.813 alpha=90.00 beta=90.00 gamma=115.69
Element x y z (fractional)
Na (0.749, 0.750, 0.500)
Na (0.501, 0.000, 0.500)
Na (0.250, 0.251, 0.500)
Na (0.000, 0.499, 0.500)
Na (0.500, 0.502, 0.000)
Na (0.250, 0.749, 0.000)
Na (0.999, 0.000, 0.000)
Na (0.752, 0.250, 0.000)
C (0.705, 0.455, 0.500)
B (0.548, 0.797, 0.000)
B (0.461, 0.211, 0.000)
B (0.304, 0.054, 0.000)
B (0.703, 0.953, 0.000)
B (0.047, 0.298, 0.000)
B (0.940, 0.690, 0.000)
B (0.781, 0.531, 0.000)
B (0.203, 0.453, 0.000)
B (0.297, 0.547, 0.500)
B (0.201, 0.951, 0.500)
B (0.044, 0.794, 0.500)
B (0.453, 0.702, 0.500)
B (0.797, 0.047, 0.500)
B (0.563, 0.313, 0.500)
B (0.952, 0.203, 0.500)

Symmetry ... Amm2 (38)
V ... 11.23 A^3/atom
Spin magnetization ... 0.00 Bohr magnetons per cell
Crystal system ... orthorhombic


Which structure loses on stability? run A does.


Run A
An optimized crystal structure of Na6B7C5. Source: Alexandria, functional PBE.

Unit cell a=8.943 b=8.943 c=8.943 alpha=32.07 beta=32.07 gamma=32.07
Element x y z (fractional)
Na (0.001, 0.000, 0.999)
Na (0.168, 0.167, 0.166)
Na (0.332, 0.334, 0.333)
Na (0.499, 0.501, 0.500)
Na (0.667, 0.666, 0.667)
Na (0.833, 0.833, 0.834)
C (0.917, 0.583, 0.250)
C (0.083, 0.417, 0.750)
C (0.250, 0.917, 0.583)
C (0.417, 0.750, 0.083)
C (0.583, 0.250, 0.917)
B (0.750, 0.083, 0.417)
B (0.917, 0.250, 0.583)
B (0.750, 0.430, 0.070)
B (0.250, 0.583, 0.917)
B (0.097, 0.736, 0.417)
B (0.583, 0.917, 0.250)
B (0.403, 0.083, 0.764)

Symmetry ... R32 (155)
V ... 9.95 A^3/atom
Spin magnetization ... 0.00 Bohr magnetons per cell
Crystal system ... trigonal


Run B
An optimized crystal structure of Na6B7C5. Source: Alexandria, functional PBE.

Unit cell a=7.630 b=7.630 c=9.861 alpha=119.91 beta=119.91 gamma=21.25
Element x y z (fractional)
Na (0.668, 0.668, 0.001)
Na (0.501, 0.501, 0.498)
Na (0.334, 0.334, 0.002)
Na (0.166, 0.166, 0.498)
Na (0.002, 0.002, 0.005)
Na (0.832, 0.832, 0.496)
C (0.972, 0.972, 0.249)
C (0.699, 0.699, 0.750)
C (0.639, 0.639, 0.251)
C (0.358, 0.358, 0.750)
C (0.305, 0.305, 0.250)
B (0.034, 0.034, 0.750)
B (0.860, 0.860, 0.249)
B (0.146, 0.146, 0.750)
B (0.527, 0.527, 0.250)
B (0.804, 0.804, 0.750)
B (0.194, 0.194, 0.251)
B (0.460, 0.460, 0.750)

Symmetry ... Cm (8)
V ... 9.96 A^3/atom
Spin magnetization ... 0.09 Bohr magnetons per cell
Crystal system ... monoclinic


Run C
An optimized crystal structure of Na6B7C5. Source: Alexandria, functional PBE.

Unit cell a=2.848 b=2.848 c=25.406 alpha=90.00 beta=90.00 gamma=120.00
Element x y z (fractional)
Na (0.000, 0.000, 0.998)
Na (0.000, 0.000, 0.169)
Na (0.000, 0.000, 0.335)
Na (0.000, 0.000, 0.501)
Na (0.000, 0.000, 0.666)
Na (0.000, 0.000, 0.832)
C (0.667, 0.333, 0.253)
C (0.333, 0.667, 0.418)
C (0.667, 0.333, 0.583)
C (0.333, 0.667, 0.749)
C (0.667, 0.333, 0.914)
B (0.333, 0.667, 0.083)
B (0.333, 0.667, 0.252)
B (0.667, 0.333, 0.083)
B (0.333, 0.667, 0.583)
B (0.667, 0.333, 0.418)
B (0.333, 0.667, 0.914)
B (0.667, 0.333, 0.749)

Symmetry ... P-6m2 (187)
V ... 9.92 A^3/atom
Spin magnetization ... 0.00 Bohr magnetons per cell
Crystal system ... hexagonal


Which structure loses on stability? run A does.